## NaNbZn2Ag (PBE-GGA)

Data for crystalline NaNbZn2Ag at its relaxed geometry.

a b c (Å): 4.589 4.589 4.589
angles (deg): 90.00 90.00 90.00
Space group P4/mmm (No. 123)
One atom of each set of equivalent atoms:
Na 0.000 0.000 0.000 x1
Nb 0.500 0.500 0.500 x1
Zn 0.000 0.500 0.000 x2
Ag 0.000 0.000 0.500 x1

## SbAs2Au (PBE-GGA)

Data for crystalline SbAs2Au at its relaxed geometry.

Computed properties:
energy relative to the elements, uncorrected: 1.1 eV/f.u.

a b c (Å): 3.904 4.535 10.401
angles (deg): 90.00 90.00 90.00
Space group Immm (No. 71)
One atom of each set of equivalent atoms:
Sb 0.000 0.000 0.000 x2
As 0.000 0.500 0.181 x4
Au 0.000 0.000 0.500 x2

Raw total energy for every record listed, in sequence, given in eV for the cell shown: -11.115, -31.159.
Theoretical density for every record listed, in sequence, given in g cm⁻³: 6.09, 8.45.